A relaxed structure of YPbF2, computed with PBE.

Symmetry = No. 166
ΔE_f (raw) = -2229 meV per atom

Unit cell a=9.7592 b=9.7592 c=9.7592 alpha=20.20 beta=20.20 gamma=20.20
Atoms (fractional coordinates):
1 F 0.8766 0.8766 0.8766
2 Pb 0.0000 0.0000 0.0000
3 Y 0.5000 0.5000 0.5000
4 F 0.1234 0.1234 0.1234

A relaxed structure of SrEu2Dy, computed with PBE.

Formation enthalpy at 0 K = 36 kJ/mol of formula units
Symmetry = No. 123

Unit cell a=3.8687 b=3.8687 c=11.0997 alpha=90.00 beta=90.00 gamma=90.00
Atoms (fractional coordinates):
1 Dy 0.5000 0.5000 0.0000
2 Eu 0.0000 0.0000 0.7770
3 Sr 0.5000 0.5000 0.5000
4 Eu 0.0000 0.0000 0.2230